1.
4
Lattice="5.390 0.052 0.205 4.511 2.951 0.205 2.035 0.617 4.038" Properties=species:S:1:pos:R:3 comment="Co2AgHg, optimized geometry, DFT GGA-PBE" dos_ef_per_ev_cell=4.05 rho_g_cm3=11.4 total_energy_ev_per_atom=-3.93 pbc="T T T"
Ag 3.121 0.947 1.086
Co 2.251 0.683 3.892
Co 8.737 2.650 3.475
Hg 5.830 1.768 2.256


2.
5
Lattice="-3.954 -2.172 -1.257 2.112 -1.612 -3.857 1.356 -3.823 2.340" Properties=species:S:1:pos:R:3 comment="Co3AgHg, optimized geometry, DFT GGA-PBE" e_above_lowest_polymorph_mev_per_atom=0 dos_ef_per_ev_cell=9.48 rho_g_cm3=7.8 total_energy_ev_per_atom=-3.32 pbc="T T T"
Co 1.056 -0.806 -1.928
Co 0.678 -1.912 1.170
Co -1.977 -1.086 -0.629
Hg -0.243 -3.804 -1.387
Ag 0.000 0.000 0.000


3.
4
Lattice="-2.856 -4.691 8.005 -1.406 -6.864 6.720 0.023 -4.931 8.362" Properties=species:S:1:pos:R:3 comment="CoAg2Hg, optimized geometry, DFT GGA-PBE" dos_ef_per_ev_cell=3.27 rho_g_cm3=11.2 total_energy_ev_per_atom=-2.94 pbc="T T T"
Ag -4.203 -16.350 22.897
Ag -2.154 -8.379 11.735
Co -1.060 -4.121 5.772
Hg -3.179 -12.364 17.316


4.
6
Lattice="0.000 3.465 3.465 3.465 0.000 3.465 3.465 3.465 0.000" Properties=species:S:1:pos:R:3 comment="Co4AgHg, optimized geometry, DFT GGA-PBE" dos_ef_per_ev_cell=7.47 rho_g_cm3=10.9 total_energy_ev_per_atom=-4.92 pbc="T T T"
Co 2.597 4.333 4.333
Co 4.333 4.333 2.597
Co 4.333 2.597 4.333
Co 2.597 2.597 2.597
Ag 0.000 0.000 0.000
Hg 5.197 5.197 5.197


5.
4
Lattice="4.599 0.000 0.000 2.299 3.983 0.000 2.299 1.328 3.755" Properties=species:S:1:pos:R:3 comment="CoAg2Hg, optimized geometry, DFT GGA-PBE" dos_ef_per_ev_cell=6.99 rho_g_cm3=11.5 total_energy_ev_per_atom=-2.89 pbc="T T T"
Ag 0.000 0.000 0.000
Ag 2.299 1.328 0.939
Co 4.599 2.655 1.877
Hg 6.898 3.983 2.816


6.
4
Lattice="5.019 -0.004 0.069 4.162 2.807 0.069 0.979 0.299 4.896" Properties=species:S:1:pos:R:3 comment="CoAg2Hg, optimized geometry, DFT GGA-PBE" dos_ef_per_ev_cell=4.04 rho_g_cm3=11.5 total_energy_ev_per_atom=-2.92 pbc="T T T"
Ag 0.988 0.302 4.827
Ag 7.727 2.359 3.780
Co 5.044 1.540 2.472
Hg 2.459 0.751 1.366


7.
4
Lattice="5.056 0.035 0.000 1.770 4.736 0.000 -3.413 -2.385 2.868" Properties=species:S:1:pos:R:3 comment="CoAg2Hg, optimized geometry, DFT GGA-PBE" dos_ef_per_ev_cell=5.34 rho_g_cm3=11.5 total_energy_ev_per_atom=-2.91 pbc="T T T"
Ag 0.000 0.000 0.000
Ag 3.413 2.385 0.000
Co 0.885 2.368 1.434
Hg 2.528 0.017 1.434


8.
4
Lattice="-2.213 -1.106 1.607 1.671 -2.329 0.698 2.686 3.827 6.334" Properties=species:S:1:pos:R:3 comment="CoAg2Hg, optimized geometry, DFT GGA-PBE" dos_ef_per_ev_cell=4.24 rho_g_cm3=11.5 total_energy_ev_per_atom=-2.97 pbc="T T T"
Ag 0.027 0.039 0.064
Ag 0.457 -0.680 2.869
Co 1.322 1.883 3.117
Hg 1.681 1.064 5.756


9.
4
Lattice="-1.972 -2.301 0.078 2.738 -2.446 -2.929 2.354 -1.889 3.779" Properties=species:S:1:pos:R:3 comment="CoAg2Hg, optimized geometry, DFT GGA-PBE" dos_ef_per_ev_cell=4.43 rho_g_cm3=11.5 total_energy_ev_per_atom=-2.91 pbc="T T T"
Ag 0.000 0.000 0.000
Ag 0.383 -2.373 -1.425
Co 0.191 -2.095 1.928
Hg 2.546 -2.167 0.425


10.
3
Lattice="2.937 0.000 0.000 -1.469 2.544 0.000 0.000 0.000 6.901" Properties=species:S:1:pos:R:3 comment="CoAgHg, optimized geometry, DFT GGA-PBE" e_above_lowest_polymorph_mev_per_atom=40 dos_ef_per_ev_cell=2.59 rho_g_cm3=11.8 total_energy_ev_per_atom=-2.97 pbc="T T T"
Ag 0.000 0.000 0.148
Co 1.469 0.848 2.268
Hg 0.000 1.696 4.485


11.
4
Lattice="3.937 0.000 0.000 0.000 3.937 0.000 0.000 0.000 3.948" Properties=species:S:1:pos:R:3 comment="Co2AgHg, optimized geometry, DFT GGA-PBE" dos_ef_per_ev_cell=6.56 rho_g_cm3=11.6 total_energy_ev_per_atom=-3.83 pbc="T T T"
Ag 0.000 1.969 1.974
Co 0.000 0.000 0.000
Co 1.969 1.969 0.000
Hg 1.969 0.000 1.974


12.
4
Lattice="9.111 0.000 0.000 8.665 2.816 0.000 8.665 1.373 2.459" Properties=species:S:1:pos:R:3 comment="Co2AgHg, optimized geometry, DFT GGA-PBE" dos_ef_per_ev_cell=3.05 rho_g_cm3=11.2 total_energy_ev_per_atom=-3.97 pbc="T T T"
Ag 19.600 3.105 1.823
Co 26.208 4.152 2.437
Co 6.900 1.093 0.642
Hg 13.398 2.123 1.246


| no. | formation energy from the elements (meV/atom) |
| --- | --- |
| 1 | 412.2 |
| 2 | 1575.4 |
| 3 | 337.9 |
| 4 | 339.0 |
| 5 | 388.5 |
| 6 | 360.6 |
| 7 | 371.4 |
| 8 | 309.8 |
| 9 | 369.5 |
| 10 | 445.1 |
| 11 | 506.3 |
| 12 | 371.4 |